[1]
Here is a geometry-optimized MgBe2Sn2Pd5 structure from Alexandria. Energies are from PBE-GGA.

```
MgBe2Sn2Pd5
1.0
9.460 0.000 0.000
0.000 9.460 0.000
0.000 0.000 3.442
Mg Be Sn Pd
2 4 4 10
Cartesian
0.000 0.000 0.000 Mg
4.730 4.730 0.000 Mg
1.183 3.546 0.000 Be
3.546 8.276 0.000 Be
5.913 1.183 0.000 Be
8.276 5.913 0.000 Be
1.636 6.366 0.000 Sn
3.094 1.636 0.000 Sn
6.366 7.824 0.000 Sn
7.824 3.094 0.000 Sn
0.000 4.730 1.721 Pd
0.755 1.962 1.721 Pd
1.962 8.705 1.721 Pd
2.768 3.975 1.721 Pd
3.975 6.692 1.721 Pd
4.730 0.000 1.721 Pd
5.485 2.768 1.721 Pd
6.692 5.485 1.721 Pd
7.498 0.755 1.721 Pd
8.705 7.498 1.721 Pd
```

- space-group type = P4/mbm
- total energy (eV per atom) = -4.76
- density (g/cm³) = 8.8



[2]
Here is a geometry-optimized BSb3Pb structure from Alexandria. Energies are from PBE-GGA.

```
BSb3Pb
1.0
5.798 0.000 0.000
0.000 5.798 0.000
0.000 0.000 5.798
B Sb Pb
1 3 1
Cartesian
0.000 0.000 0.000 B
0.000 2.899 2.899 Sb
2.899 0.000 2.899 Sb
2.899 2.899 0.000 Sb
2.899 2.899 2.899 Pb
```

- space-group type = Pm-3m
- ΔE_f (raw) (meV per atom) = 1854.2
- density (g/cm³) = 5.0



[3]
Here is a geometry-optimized Tm8In5Hg structure from Alexandria. Energies are from PBE-GGA.

```
Tm8In5Hg
1.0
-4.586 4.586 4.606
4.586 -4.586 4.606
4.586 4.586 -4.606
Tm In Hg
8 5 1
Cartesian
3.912 2.956 -2.757 Tm
3.878 1.605 0.458 Tm
2.981 -0.708 4.148 Tm
0.674 1.630 1.849 Tm
1.605 5.294 -0.458 Tm
1.630 -0.674 7.363 Tm
2.956 5.260 2.757 Tm
0.708 2.981 5.064 Tm
2.295 -1.143 1.154 In
5.729 -2.291 3.452 In
6.877 1.143 1.154 In
0.000 0.000 4.606 In
3.443 2.291 3.452 In
0.000 4.586 2.303 Hg
```

- space-group type = I-4
- total energy (eV per atom) = -3.83
- density (g/cm³) = 9.1



[4]
Here is a geometry-optimized KDyCo2Cl8 structure from Alexandria. Energies are from PBE-GGA.

```
KDyCo2Cl8
1.0
3.226 1.863 9.599
-3.226 1.863 9.599
0.000 -3.725 9.599
K Dy Co Cl
1 1 2 8
Cartesian
0.000 0.000 0.000 K
0.000 0.000 14.399 Dy
0.000 0.000 7.109 Co
0.000 0.000 21.688 Co
-1.064 -1.868 12.828 Cl
-2.150 -0.012 15.970 Cl
0.000 0.000 9.295 Cl
-1.085 1.856 12.828 Cl
1.085 -1.856 15.970 Cl
0.000 0.000 19.503 Cl
2.150 0.012 12.828 Cl
1.064 1.868 15.970 Cl
```

- space-group type = R-3
- ΔE_f (raw) (meV per atom) = -1333.3
- density (g/cm³) = 2.9



[5]
Here is a geometry-optimized Ca2BS structure from Alexandria. Energies are from PBE-GGA.

```
Ca2BS
1.0
6.855 0.000 0.000
0.000 6.855 0.000
0.000 0.000 6.855
Ca B S
8 4 4
Cartesian
1.714 1.714 1.714 Ca
1.714 1.714 5.141 Ca
1.714 5.141 1.714 Ca
1.714 5.141 5.141 Ca
5.141 1.714 1.714 Ca
5.141 1.714 5.141 Ca
5.141 5.141 1.714 Ca
5.141 5.141 5.141 Ca
0.000 0.000 0.000 B
0.000 3.427 3.427 B
3.427 0.000 3.427 B
3.427 3.427 0.000 B
0.000 0.000 3.427 S
0.000 3.427 0.000 S
3.427 0.000 0.000 S
3.427 3.427 3.427 S
```

- space-group type = Fm-3m
- ΔE_f (raw) (meV per atom) = -196.6
- density (g/cm³) = 2.5



[6]
Here is a geometry-optimized TaAlCoRh2 structure from Alexandria. Energies are from PBE-GGA.

```
TaAlCoRh2
1.0
4.292 0.000 0.000
0.000 4.292 0.000
0.000 0.000 4.775
Ta Al Co Rh
1 1 1 2
Cartesian
0.000 0.000 0.000 Ta
0.000 0.000 2.388 Al
2.146 2.146 0.000 Co
0.000 2.146 2.388 Rh
2.146 0.000 2.388 Rh
```

- space-group type = P4/mmm
- total energy (eV per atom) = -6.36
- density (g/cm³) = 8.9